(1)
VASP calculation (PBE) on crystalline PtAu at its relaxed geometry.

Summary:
* formation enthalpy at 0 K: 37 meV per atom

Unit cell a=5.0394 b=5.0394 c=5.0394 alpha=32.87 beta=32.87 gamma=32.87
Element x y z (fractional)
Pt 0.0000 0.0000 0.0000
Au 0.5000 0.5000 0.5000

(2)
VASP calculation (PBE) on crystalline SrHoPd4 at its relaxed geometry.

Summary:
* formation enthalpy at 0 K: -674 meV per atom

Unit cell a=5.5145 b=5.5145 c=5.5145 alpha=60.00 beta=60.00 gamma=60.00
Element x y z (fractional)
Sr 0.0000 0.0000 0.0000
Ho 0.7500 0.7500 0.7500
Pd 0.3754 0.3754 0.3754
Pd 0.3754 0.3754 0.8737
Pd 0.3754 0.8737 0.3754
Pd 0.8737 0.3754 0.3754

(3)
VASP calculation (PBE) on crystalline CaGaCu3Si at its relaxed geometry.

Summary:
* uncorrected formation energy: -0.1037 eV/atom

Unit cell a=6.6138 b=6.6138 c=5.7218 alpha=90.00 beta=90.00 gamma=123.38
Element x y z (fractional)
Ca 0.2117 0.7883 0.7500
Ca 0.7883 0.2117 0.2500
Ga 0.4614 0.5386 0.7500
Ga 0.5386 0.4614 0.2500
Cu 0.1949 0.1949 0.0000
Cu 0.1949 0.1949 0.5000
Cu 0.3326 0.6674 0.2500
Cu 0.6674 0.3326 0.7500
Cu 0.8051 0.8051 0.0000
Cu 0.8051 0.8051 0.5000
Si 0.1314 0.8686 0.2500
Si 0.8686 0.1314 0.7500

(4)
VASP calculation (PBE) on crystalline InNiCl2 at its relaxed geometry.

Summary:
* distance to the lowest polymorph of the same formula: 0.000 eV/atom
* uncorrected formation energy: -0.4727 eV/atom

Unit cell a=5.6324 b=5.6324 c=6.0871 alpha=116.40 beta=116.40 gamma=35.32
Element x y z (fractional)
In 0.0000 0.0000 0.0000
Ni 0.2650 0.2650 0.0067
Cl 0.6918 0.6918 0.7105
Cl 0.8517 0.8517 0.3023

(5)
VASP calculation (PBE) on crystalline LiPrEr2Cd4 at its relaxed geometry.

Summary:
* formation enthalpy at 0 K: -256 meV per atom

Unit cell a=9.2247 b=9.2247 c=9.2247 alpha=32.64 beta=32.64 gamma=32.64
Element x y z (fractional)
Li 0.0000 0.0000 0.0000
Pr 0.5000 0.5000 0.5000
Er 0.2538 0.2538 0.2538
Er 0.7462 0.7462 0.7462
Cd 0.1145 0.1145 0.1145
Cd 0.3723 0.3723 0.3723
Cd 0.6277 0.6277 0.6277
Cd 0.8855 0.8855 0.8855

(6)
VASP calculation (PBE) on crystalline Tl2Ge2Pb at its relaxed geometry.

Summary:
* distance to the lowest polymorph of the same formula: 0.075 eV/atom
* formation enthalpy at 0 K: 252 meV per atom

Unit cell a=8.7150 b=8.7150 c=3.4806 alpha=90.00 beta=90.00 gamma=90.00
Element x y z (fractional)
Tl 0.1448 0.3552 0.0000
Tl 0.3552 0.8552 0.0000
Tl 0.6448 0.1448 0.0000
Tl 0.8552 0.6448 0.0000
Ge 0.1541 0.6541 0.5000
Ge 0.3459 0.1541 0.5000
Ge 0.6541 0.8459 0.5000
Ge 0.8459 0.3459 0.5000
Pb 0.0000 0.0000 0.5000
Pb 0.5000 0.5000 0.5000

(7)
VASP calculation (PBE) on crystalline VTc2PtN at its relaxed geometry.

Summary:
* uncorrected formation energy: -0.3380 eV/atom

Unit cell a=4.0309 b=4.0309 c=3.9626 alpha=90.00 beta=90.00 gamma=90.00
Element x y z (fractional)
V 0.0000 0.0000 0.0000
Tc 0.0000 0.5000 0.5000
Tc 0.5000 0.0000 0.5000
Pt 0.5000 0.5000 0.0000
N 0.0000 0.0000 0.5000

(8)
VASP calculation (PBE) on crystalline CdRuSe2Br at its relaxed geometry.

Summary:
* distance to the lowest polymorph of the same formula: 0.000 eV/atom
* uncorrected formation energy: 0.1928 eV/atom

Unit cell a=4.8477 b=4.8477 c=5.2824 alpha=90.00 beta=90.00 gamma=90.00
Element x y z (fractional)
Cd 0.0000 0.0000 0.0000
Ru 0.5000 0.5000 0.5000
Se 0.0000 0.5000 0.5000
Se 0.5000 0.0000 0.5000
Br 0.5000 0.5000 0.0000